The following is a DFT calculation (GGA-PBE) of a geometry-optimized Li4SiAg7 structure.

Cell and atoms, written as POSCAR:
```
Li4SiAg7
1.0
4.631 0.000 0.000
2.315 10.015 -1.406
2.315 -0.358 4.774
Li Si Ag
4 1 7
Cartesian
4.631 2.133 1.448
4.631 7.524 1.920
4.631 7.262 -0.945
4.631 2.395 4.313
0.000 0.000 0.000
6.946 8.818 0.726
2.315 0.839 2.641
6.946 6.084 1.105
2.315 3.573 2.263
4.631 5.025 3.116
2.315 0.000 0.000
4.631 4.632 0.251
```

Output
- DOS(E_F): 2.9 states/eV per cell
- Crystal system: monoclinic
- Distance to the lowest polymorph of the same formula: 79 meV per atom
- Uncorrected formation energy: -21 meV/atom
- Space-group type: No. 12